Li2CaTl4Cd: relaxed, PBE.

The space group is Cmcm (No. 63) and the conventional cell measures 3.8499, 14.9569 and 14.7962 Å, with angles of 90.00, 90.00 and 90.00 degrees. Symmetry generates all atoms from Li at (0.0000, 0.1312, 0.1039), Ca at (0.0000, 0.3233, 0.2500), Tl at (0.0000, 0.0077, 0.7500), Tl at (0.0000, 0.2054, 0.5740), Tl at (0.0000, 0.5000, 0.0000) and Cd at (0.0000, 0.3486, 0.7500).


Li2Ca2TmCd5: relaxed, PBE.

The space group is P4/mbm (No. 127) and the conventional cell measures 10.8471, 10.8471 and 4.0354 Å, with angles of 90.00, 90.00 and 90.00 degrees. Symmetry generates all atoms from Li at (0.1169, 0.3831, 0.0000), Ca at (0.1806, 0.6806, 0.0000), Tm at (0.0000, 0.0000, 0.0000), Cd at (0.0000, 0.5000, 0.5000) and Cd at (0.0585, 0.2135, 0.5000).


LiCaY2Cd4: relaxed, PBE.

The space group is R-3m (No. 166, hexagonal axes) and the conventional cell measures 5.2181, 5.2181 and 25.5676 Å, with angles of 90.00, 90.00 and 120.00 degrees. Symmetry generates all atoms from Li at (0.0000, 0.0000, 0.0000), Ca at (0.0000, 0.0000, 0.5000), Y at (0.0000, 0.0000, 0.2511), Cd at (0.0000, 0.0000, 0.1194) and Cd at (0.0000, 0.0000, 0.3729).


LiCa2Zn3Cd12: relaxed, PBE.

The space group is R-3m (No. 166, hexagonal axes) and the conventional cell measures 10.2302, 10.2302 and 14.0667 Å, with angles of 90.00, 90.00 and 120.00 degrees. Symmetry generates all atoms from Li at (0.0000, 0.0000, 0.0000), Ca at (0.0000, 0.0000, 0.2576), Zn at (0.0000, 0.5000, 0.5000), Cd at (0.0107, 0.5053, 0.6955) and Cd at (0.0448, 0.5224, 0.1015).


LiCaZnCd: relaxed, PBE.

The space group is F-43m (No. 216) and the conventional cell measures 6.9622, 6.9622 and 6.9622 Å, with angles of 90.00, 90.00 and 90.00 degrees. Symmetry generates all atoms from Li at (0.0000, 0.0000, 0.0000), Ca at (0.2500, 0.2500, 0.7500), Zn at (0.0000, 0.0000, 0.5000) and Cd at (0.2500, 0.2500, 0.2500).


Li2CaZnCd: relaxed, PBE.

The space group is P4/mmm (No. 123) and the conventional cell measures 4.9275, 4.9275 and 5.0026 Å, with angles of 90.00, 90.00 and 90.00 degrees. Symmetry generates all atoms from Li at (0.0000, 0.5000, 0.0000), Ca at (0.0000, 0.0000, 0.5000), Zn at (0.5000, 0.5000, 0.0000) and Cd at (0.5000, 0.5000, 0.5000).


CaLuCd: relaxed, PBE.

The space group is P3m1 (No. 156) and the conventional cell measures 5.2997, 5.2997 and 3.6313 Å, with angles of 90.00, 90.00 and 120.00 degrees. Symmetry generates all atoms from Ca at (0.0000, 0.0000, 0.0000), Lu at (0.6667, 0.3333, 0.4535) and Cd at (0.3333, 0.6667, 0.6658).


CaLuMgCd: relaxed, PBE.

The space group is F-43m (No. 216) and the conventional cell measures 7.5593, 7.5593 and 7.5593 Å, with angles of 90.00, 90.00 and 90.00 degrees. Symmetry generates all atoms from Ca at (0.0000, 0.0000, 0.0000), Lu at (0.0000, 0.0000, 0.5000), Mg at (0.2500, 0.2500, 0.2500) and Cd at (0.2500, 0.2500, 0.7500).


NaCaLuCd: relaxed, PBE.

The space group is F-43m (No. 216) and the conventional cell measures 7.6944, 7.6944 and 7.6944 Å, with angles of 90.00, 90.00 and 90.00 degrees. Symmetry generates all atoms from Na at (0.0000, 0.0000, 0.0000), Ca at (0.2500, 0.2500, 0.2500), Lu at (0.2500, 0.2500, 0.7500) and Cd at (0.0000, 0.0000, 0.5000).


CaPrLuCd: relaxed, PBE.

The space group is F-43m (No. 216) and the conventional cell measures 7.8527, 7.8527 and 7.8527 Å, with angles of 90.00, 90.00 and 90.00 degrees. Symmetry generates all atoms from Ca at (0.0000, 0.0000, 0.0000), Pr at (0.2500, 0.2500, 0.2500), Lu at (0.2500, 0.2500, 0.7500) and Cd at (0.0000, 0.0000, 0.5000).


CaLuCdPt: relaxed, PBE.

The space group is F-43m (No. 216) and the conventional cell measures 7.1328, 7.1328 and 7.1328 Å, with angles of 90.00, 90.00 and 90.00 degrees. Symmetry generates all atoms from Ca at (0.0000, 0.0000, 0.0000), Lu at (0.0000, 0.0000, 0.5000), Cd at (0.2500, 0.2500, 0.2500) and Pt at (0.2500, 0.2500, 0.7500).


CaLuCdRh: relaxed, PBE.

The space group is F-43m (No. 216) and the conventional cell measures 7.0943, 7.0943 and 7.0943 Å, with angles of 90.00, 90.00 and 90.00 degrees. Symmetry generates all atoms from Ca at (0.0000, 0.0000, 0.0000), Lu at (0.0000, 0.0000, 0.5000), Cd at (0.2500, 0.2500, 0.2500) and Rh at (0.2500, 0.2500, 0.7500).


Number 1: calculated formation energy -0.15 eV per atom. Number 2: calculated formation energy -0.29 eV per atom. Number 3: calculated formation energy -0.30 eV per atom. Number 4: calculated formation energy -0.03 eV per atom. Number 5: calculated formation energy -0.22 eV per atom. Number 6: calculated formation energy -0.03 eV per atom. Number 7: calculated formation energy -0.02 eV per atom. Number 8: calculated formation energy -0.17 eV per atom. Number 9: calculated formation energy 0.02 eV per atom. Number 10: calculated formation energy 0.00 eV per atom. Number 11: calculated formation energy -0.65 eV per atom. Number 12: calculated formation energy -0.42 eV per atom.